Below is a geometry-optimized LaNiS3 structure, with properties calculated at the PBE level.

Results
spin magnetization: 0.000 μB/atom
energy: -5.674 eV per atom
relative energy among the computed polymorphs: 0.000 eV/atom
uncorrected formation energy: -1.06 eV/atom

Unit cell a=4.517 b=4.517 c=4.517 alpha=90.00 beta=90.00 gamma=90.00
Space group Pm-3m (No. 221)
Inequivalent atoms, fractional coordinates:
La: 0.000 0.000 0.000 [1 per cell]
Ni: 0.500 0.500 0.500 [1 per cell]
S: 0.000 0.500 0.500 [3 per cell]